4
Lattice="3.3179 0.0000 0.0000 1.6589 2.8734 0.0000 1.6589 0.9578 11.1794" Properties=species:S:1:pos:R:3 comment="Tm2TiTl, relaxed, DFT PBE-GGA" delta_e_f_ev_per_atom=0.34 relative_energy_ev_per_atom=0.381 m_tot_mub_per_cell=1.92 pbc="T T T"
Tm 1.6589 0.9578 8.2619
Tm 4.9768 2.8734 2.9175
Ti 0.0000 0.0000 0.0000
Tl 3.3179 1.9156 5.5897



4
Lattice="4.3967 0.0000 0.0000 0.0000 4.7426 0.0000 0.0000 0.0000 4.7426" Properties=species:S:1:pos:R:3 comment="Tm2TiTl, relaxed, DFT PBE-GGA" delta_e_f_ev_per_atom=-0.03 relative_energy_ev_per_atom=0.013 m_tot_mub_per_cell=2.51 pbc="T T T"
Tm 0.0000 0.0000 2.3713
Tm 0.0000 2.3713 0.0000
Tl 2.1984 2.3713 2.3713
Ti 2.1984 0.0000 0.0000



4
Lattice="-2.9174 -2.2343 0.4086 0.7314 -0.2944 3.6123 -3.9997 5.4517 1.2542" Properties=species:S:1:pos:R:3 comment="TmTiTl2, relaxed, DFT PBE-GGA" delta_e_f_ev_per_atom=-0.01 m_tot_mub_per_cell=1.14 pbc="T T T"
Tl -3.0832 4.2025 0.9668
Tl -0.9165 1.2492 0.2874
Tm -3.0928 1.4615 2.6376
Ti -1.0930 -1.2644 2.0105



4
Lattice="-4.2998 0.8165 -0.0961 -0.7617 -3.6968 2.6696 0.4168 2.6389 3.7731" Properties=species:S:1:pos:R:3 comment="TmTiTl2, relaxed, DFT PBE-GGA" delta_e_f_ev_per_atom=-0.03 m_tot_mub_per_cell=1.67 pbc="T T T"
Tl -0.3808 -1.8484 1.3348
Tl 0.2084 1.3194 1.8865
Tm -2.3223 -0.1207 3.1733
Ti -2.1499 0.4082 -0.0480



4
Lattice="3.4932 0.0000 0.0000 0.0000 3.4932 0.0000 0.0000 0.0000 8.2136" Properties=species:S:1:pos:R:3 comment="Tm2TiTl, relaxed, DFT PBE-GGA" delta_e_f_ev_per_atom=-0.04 relative_energy_ev_per_atom=0.000 m_tot_mub_per_cell=0.00 pbc="T T T"
Ti 1.7466 1.7466 0.0000
Tl 1.7466 1.7466 4.1068
Tm 0.0000 0.0000 1.9826
Tm 0.0000 0.0000 6.2311



4
Lattice="5.2114 0.0000 0.0000 2.6057 4.5132 0.0000 2.6057 1.5044 4.2551" Properties=species:S:1:pos:R:3 comment="Tm2TiTl, relaxed, DFT PBE-GGA" delta_e_f_ev_per_atom=0.01 relative_energy_ev_per_atom=0.052 m_tot_mub_per_cell=2.92 pbc="T T T"
Tm 7.8170 4.5132 3.1913
Tm 2.6057 1.5044 1.0638
Tl 0.0000 0.0000 0.0000
Ti 5.2114 3.0088 2.1275



4
Lattice="4.9051 0.0000 0.0000 2.4525 4.2479 0.0000 2.4525 1.4160 4.0050" Properties=species:S:1:pos:R:3 comment="TmTiTlZn, relaxed, DFT PBE-GGA" delta_e_f_ev_per_atom=-0.06 m_tot_mub_per_cell=0.00 pbc="T T T"
Ti 2.4525 1.4160 1.0012
Tm 7.3576 4.2479 3.0037
Zn 4.9051 2.8320 2.0025
Tl 0.0000 0.0000 0.0000



6
Lattice="-0.3940 -2.2769 -4.1044 3.8484 -0.9552 -2.5423 1.8692 -7.5308 1.2956" Properties=species:S:1:pos:R:3 comment="UTiTl, relaxed, DFT PBE-GGA" delta_e_f_ev_per_atom=0.32 m_tot_mub_per_cell=3.31 pbc="T T T"
Ti 2.7926 -6.5576 -2.0356
Ti 2.5310 -4.2054 -3.3154
Tl 4.0949 -8.9906 -3.5136
Tl 1.2288 -1.7723 -1.8375
U 1.5296 -4.4774 -0.3657
U 3.7940 -6.2856 -4.9853



| no. | density of states at the Fermi level (states/eV per cell) | E_tot (eV/cell) |
| --- | --- | --- |
| 1 | 4.05 | -17.85 |
| 2 | 3.41 | -19.33 |
| 3 | 3.19 | -17.13 |
| 4 | 2.36 | -17.22 |
| 5 | 5.28 | -19.38 |
| 6 | 3.76 | -19.17 |
| 7 | 2.36 | -16.25 |
| 8 | 14.37 | -41.15 |